Entry from Alexandria via LeMat-Bulk: NaTa2Mo after structural relaxation (PBE-GGA).

Geometry as POSCAR:
```
NaTa2Mo
1.0
0.0000 3.2938 3.2938
3.2938 0.0000 3.2938
3.2938 3.2938 0.0000
Na Ta Mo
1 2 1
direct
0.0000 0.0000 0.0000
0.2500 0.2500 0.2500
0.7500 0.7500 0.7500
0.5000 0.5000 0.5000
```

Electronic total energy   -8.270 eV per atom
Energy above the most stable polymorph in this dataset   0 kJ/mol of formula units
Energy of formation   694.2 meV/atom
M_tot   0.00 μB per atom

Entry from Alexandria via LeMat-Bulk: NaTaMo3 after structural relaxation (PBE-GGA).

Geometry as POSCAR:
```
NaTaMo3
1.0
4.8488 0.0000 0.0000
0.0000 4.8488 0.0000
0.0000 0.0000 4.8488
Na Ta Mo
1 1 3
direct
0.0000 0.0000 0.0000
0.5000 0.5000 0.5000
0.0000 0.5000 0.5000
0.5000 0.0000 0.5000
0.5000 0.5000 0.0000
```

Electronic total energy   -7.347 eV per atom
Energy above the most stable polymorph in this dataset   0 kJ/mol of formula units
Energy of formation   1786.2 meV/atom
M_tot   0.00 μB per atom

Entry from Alexandria via LeMat-Bulk: NaTa2Mo after structural relaxation (PBE-GGA).

Geometry as POSCAR:
```
NaTa2Mo
1.0
-1.9934 1.9934 9.7737
1.9934 -1.9934 9.7737
1.9934 1.9934 -9.7737
Na Ta Mo
2 4 2
direct
0.0000 0.0000 0.0000
0.7500 0.2500 0.5000
0.1417 0.6250 0.0167
0.3750 0.3917 0.5167
0.6083 0.1250 0.9833
0.8750 0.8583 0.4833
0.2500 0.7500 0.5000
0.5000 0.5000 0.0000
```

Electronic total energy   -7.657 eV per atom
Energy above the most stable polymorph in this dataset   236 kJ/mol of formula units
Energy of formation   1306.4 meV/atom
M_tot   0.15 μB per atom

Entry from Alexandria via LeMat-Bulk: NaTa3Mo after structural relaxation (PBE-GGA).

Geometry as POSCAR:
```
NaTa3Mo
1.0
4.9179 0.0000 0.0000
0.0000 4.9179 0.0000
0.0000 0.0000 4.9179
Na Ta Mo
1 3 1
direct
0.0000 0.0000 0.0000
0.0000 0.5000 0.5000
0.5000 0.0000 0.5000
0.5000 0.5000 0.0000
0.5000 0.5000 0.5000
```

Electronic total energy   -8.136 eV per atom
Energy above the most stable polymorph in this dataset   0 kJ/mol of formula units
Energy of formation   1406.0 meV/atom
M_tot   0.00 μB per atom

Entry from Alexandria via LeMat-Bulk: NaTaV2Mo after structural relaxation (PBE-GGA).

Geometry as POSCAR:
```
NaTaV2Mo
1.0
4.7722 0.0000 0.0000
0.0000 4.7722 0.0000
0.0000 0.0000 4.7887
Na Ta V Mo
1 1 2 1
direct
0.0000 0.0000 0.0000
0.5000 0.5000 0.5000
0.0000 0.5000 0.5000
0.5000 0.0000 0.5000
0.5000 0.5000 0.0000
```

Electronic total energy   -6.846 eV per atom
Energy of formation   1601.8 meV/atom
M_tot   0.00 μB per atom

Entry from Alexandria via LeMat-Bulk: NaZrTa2Mo after structural relaxation (PBE-GGA).

Geometry as POSCAR:
```
NaZrTa2Mo
1.0
5.0667 0.0000 0.0000
0.0000 5.0667 0.0000
0.0000 0.0000 4.8353
Na Zr Ta Mo
1 1 2 1
direct
0.0000 0.0000 0.0000
0.5000 0.5000 0.5000
0.0000 0.5000 0.5000
0.5000 0.0000 0.5000
0.5000 0.5000 0.0000
```

Electronic total energy   -6.958 eV per atom
Energy of formation   1923.0 meV/atom
M_tot   0.00 μB per atom

Entry from Alexandria via LeMat-Bulk: NaTcMo3 after structural relaxation (PBE-GGA).

Geometry as POSCAR:
```
NaTcMo3
1.0
4.4363 0.0000 0.0000
0.0000 4.4363 0.0000
0.0000 0.0000 4.4363
Na Tc Mo
1 1 3
direct
0.0000 0.0000 0.0000
0.5000 0.5000 0.5000
0.0000 0.0000 0.5000
0.0000 0.5000 0.0000
0.5000 0.0000 0.0000
```

Electronic total energy   -6.147 eV per atom
Energy above the most stable polymorph in this dataset   538 kJ/mol of formula units
Energy of formation   2689.1 meV/atom
M_tot   0.00 μB per atom

Entry from Alexandria via LeMat-Bulk: NaTcMo3 after structural relaxation (PBE-GGA).

Geometry as POSCAR:
```
NaTcMo3
1.0
4.7730 0.0000 0.0000
0.0000 4.7730 0.0000
0.0000 0.0000 4.7730
Na Tc Mo
1 1 3
direct
0.0000 0.0000 0.0000
0.5000 0.5000 0.5000
0.0000 0.5000 0.5000
0.5000 0.0000 0.5000
0.5000 0.5000 0.0000
```

Electronic total energy   -7.261 eV per atom
Energy above the most stable polymorph in this dataset   0 kJ/mol of formula units
Energy of formation   1574.4 meV/atom
M_tot   0.20 μB per atom